First-principles (PBE-GGA) data for a geometry-optimized K3La2DyTe6 structure, as listed in Alexandria.

a b c (Å): 8.040 13.927 8.659
angles (deg): 90.00 108.07 90.00
Space group C2/m (No. 12)
Symmetry-distinct sites (fractional):
K: 0.000 0.000 0.000 (multiplicity 2)
K: 0.000 0.331 0.000 (multiplicity 4)
La: 0.000 0.166 0.500 (multiplicity 4)
Dy: 0.000 0.500 0.500 (multiplicity 2)
Te: 0.232 0.339 0.713 (multiplicity 8)
Te: 0.249 0.000 0.714 (multiplicity 4)

Values from the calculation:
- ρ: 4.77 g/cm³
- Formation energy from raw total energies: -1.46 eV/atom